Sr2AgBi | PBE-GGA | optimized geometry

a = 7.984 Å, b = 7.984 Å, c = 7.984 Å
α = 90.00°, β = 90.00°, γ = 90.00°
Space group F-43m (No. 216)
Unique sites:
Sr 0.000 0.000 0.000 (multiplicity 4)
Sr 0.250 0.250 0.250 (multiplicity 4)
Ag 0.250 0.250 0.750 (multiplicity 4)
Bi 0.000 0.000 0.500 (multiplicity 4)

Values from the calculation:
Uncorrected energy: -44.0 eV for the cell shown